Entry 1:
Material: AlCoTe2
Method: DFT, PBEsol
State: relaxed

Properties
* raw formation energy: -0.08 eV/atom

Cell lengths 4.3668, 4.3790, 4.3674 Å; angles 90.00, 105.96, 90.00 degrees
Closest atoms and distances in Å follow each position.
Positions (direct):
1 Te 0.6860 0.5000 0.3141  3 Co 2.72-2.81, 2 Al 2.72
2 Te 0.0753 0.0000 0.9246  2 Co 2.63, 3 Al 2.65-2.76
3 Al 0.4555 0.0000 0.5443  2 Co 2.50, 5 Te 2.65-2.76
4 Co 0.2832 0.5000 0.7170  2 Al 2.50, 4 Te 2.63-2.72

Entry 2:
Material: Ta2W
Method: DFT, PBEsol
State: relaxed

Properties
* polymorph energy (0 for the lowest one): 0.014 eV per atom
* formation enthalpy at 0 K: -0.0598 eV/atom

Cell lengths 3.2149, 5.3676, 6.4961 Å; angles 107.98, 90.00, 107.43 degrees
Closest atoms and distances in Å follow each position.
Positions (direct):
1 Ta 0.8313 0.6627 0.4113  2 W 2.76, 6 Ta 2.82-2.84
2 Ta 0.5018 0.0036 0.2431  4 W 2.78-2.80, 4 Ta 2.84
3 Ta 0.1687 0.3373 0.5887  2 W 2.76, 6 Ta 2.82-2.84
4 Ta 0.4982 0.9964 0.7569  4 W 2.78-2.80, 4 Ta 2.84
5 W 0.1700 0.3400 0.0814  2 W 2.74, 6 Ta 2.76-2.80
6 W 0.8300 0.6600 0.9186  2 W 2.74, 6 Ta 2.76-2.80